Computed, not measured: a PBEsol-optimized structure of KZr2Se at the meta-GGA SCAN level of DFT.

Calculated values
* electronic total energy: -22.644 eV per atom
* SG: Immm, No. 71
* size of the total moment: 0.0 Bohr magnetons per cell

a b c (Å): 6.5235 6.5235 6.5235
angles (deg): 151.13 132.88 56.21
With the nearest neighbours (Å) after each atom.
Positions (direct):
K (0.0000, 0.0000, 0.0000)  4 Se 3.07, 2 K 3.25
Zr (0.3028, 0.8028, 0.5000)  2 Se 2.79
Zr (0.6972, 0.1972, 0.5000)  2 Se 2.79
Se (0.5000, 0.5000, 0.0000)  4 Zr 2.79, 4 K 3.07



Computed, not measured: a PBEsol-optimized structure of KZrSe2 at the meta-GGA SCAN level of DFT.

Calculated values
* electronic total energy: -20.044 eV per atom
* SG: R3m, No. 160
* size of the total moment: 1.0 Bohr magnetons per cell

a b c (Å): 10.5405 10.5405 10.5405
angles (deg): 19.10 19.10 19.10
With the nearest neighbours (Å) after each atom.
Positions (direct):
K (0.0000, 0.0000, 0.0000)  3 Se 3.15, 6 K 3.50
Zr (0.2172, 0.2172, 0.2172)  3 Se 2.59
Se (0.4981, 0.4981, 0.4981)  3 Zr 2.59
Se (0.7446, 0.7446, 0.7446)  3 K 3.15, 9 Se 3.37-3.50



Computed, not measured: a PBEsol-optimized structure of KZr2Se at the meta-GGA SCAN level of DFT.

Calculated values
* electronic total energy: -22.919 eV per atom
* SG: P4mm, No. 99
* size of the total moment: 0.3 Bohr magnetons per cell

a b c (Å): 3.4303 3.4303 8.9168
angles (deg): 90.00 90.00 90.00
With the nearest neighbours (Å) after each atom.
Positions (direct):
K (0.0000, 0.0000, 0.0000)  4 K 3.43, 4 Se 3.43, 1 Zr 3.74
Zr (0.0000, 0.0000, 0.4197)  4 Se 2.76
Zr (0.5000, 0.5000, 0.6360)  8 Zr 3.10-3.43, 1 Se 3.24
Se (0.5000, 0.5000, 0.2721)  4 Zr 2.76



Computed, not measured: a PBEsol-optimized structure of KZr2Se at the meta-GGA SCAN level of DFT.

Calculated values
* electronic total energy: -22.473 eV per atom
* SG: Imm2, No. 44
* size of the total moment: 0.1 Bohr magnetons per cell

a b c (Å): 7.4509 7.4509 7.4509
angles (deg): 153.76 145.72 43.68
With the nearest neighbours (Å) after each atom.
Positions (direct):
K (0.0000, 0.0000, 0.0000)  2 Se 3.19, 2 K 3.38, 6 Zr 3.50-3.53
Zr (0.3460, 0.3460, 0.0000)  2 Se 2.68, 2 Zr 2.99
Zr (0.6995, 0.1995, 0.5000)  4 Se 2.77, 2 Zr 2.99
Se (0.1958, 0.6958, 0.5000)  6 Zr 2.68-2.77



Computed, not measured: a PBEsol-optimized structure of K15Si92 at the meta-GGA SCAN level of DFT.

Calculated values
* electronic total energy: -9.795 eV per atom
* SG: Pmmm, No. 47
* size of the total moment: 0.0 Bohr magnetons per cell

a b c (Å): 10.2513 10.2519 20.4803
angles (deg): 90.00 90.00 90.00
With the nearest neighbours (Å) after each atom.
Positions (direct):
K (0.0000, 0.0000, 0.0000)  20 Si 3.28-3.37
K (0.0000, 0.2497, 0.2508)  20 Si 3.45-3.81
K (0.0000, 0.2497, 0.7492)  20 Si 3.45-3.81
K (0.0000, 0.7503, 0.2508)  20 Si 3.45-3.81
K (0.0000, 0.7503, 0.7492)  20 Si 3.45-3.81
K (0.2503, 0.5000, 0.0000)  20 Si 3.46-3.81
K (0.2501, 0.5000, 0.5000)  20 Si 3.45-3.82
K (0.5000, 0.0000, 0.1255)  20 Si 3.46-3.81
K (0.5000, 0.0000, 0.3755)  20 Si 3.45-3.81
K (0.5000, 0.0000, 0.6245)  20 Si 3.45-3.81
K (0.5000, 0.0000, 0.8745)  20 Si 3.46-3.81
K (0.5000, 0.5000, 0.2510)  20 Si 3.29-3.39
K (0.5000, 0.5000, 0.7490)  20 Si 3.29-3.39
K (0.7497, 0.5000, 0.0000)  20 Si 3.46-3.81
K (0.7499, 0.5000, 0.5000)  20 Si 3.45-3.82
Si (0.0000, 0.3057, 0.4413)  4 Si 2.35-2.41
Si (0.0000, 0.3057, 0.5587)  4 Si 2.35-2.41
Si (0.0000, 0.3070, 0.0592)  4 Si 2.37-2.42
Si (0.0000, 0.3070, 0.9408)  4 Si 2.37-2.42
Si (0.0000, 0.5000, 0.1253)  4 Si 2.40
Si (0.0000, 0.5000, 0.3761)  4 Si 2.40
Si (0.0000, 0.5000, 0.6239)  4 Si 2.40
Si (0.0000, 0.5000, 0.8747)  4 Si 2.40
Si (0.0000, 0.6930, 0.0592)  4 Si 2.37-2.42
Si (0.0000, 0.6930, 0.9408)  4 Si 2.37-2.42
Si (0.0000, 0.6943, 0.4413)  4 Si 2.35-2.41
Si (0.0000, 0.6943, 0.5587)  4 Si 2.35-2.41
Si (0.1183, 0.0000, 0.1536)  4 Si 2.37-2.42
Si (0.1177, 0.0000, 0.3473)  4 Si 2.35-2.41
Si (0.1177, 0.0000, 0.6527)  4 Si 2.35-2.41
Si (0.1183, 0.0000, 0.8464)  4 Si 2.37-2.42
Si (0.1827, 0.1828, 0.4086)  4 Si 2.33-2.35
Si (0.1827, 0.1828, 0.5914)  4 Si 2.33-2.35
Si (0.1827, 0.8172, 0.4086)  4 Si 2.33-2.35
Si (0.1827, 0.8172, 0.5914)  4 Si 2.33-2.35
Si (0.1847, 0.1849, 0.0925)  4 Si 2.32-2.37
Si (0.1847, 0.1849, 0.9075)  4 Si 2.32-2.37
Si (0.1847, 0.8151, 0.0925)  4 Si 2.32-2.37
Si (0.1847, 0.8151, 0.9075)  4 Si 2.32-2.37
Si (0.1929, 0.5000, 0.1913)  4 Si 2.37-2.43
Si (0.1931, 0.5000, 0.3098)  4 Si 2.37-2.43
Si (0.1931, 0.5000, 0.6902)  4 Si 2.37-2.43
Si (0.1929, 0.5000, 0.8087)  4 Si 2.37-2.43
Si (0.2497, 0.0000, 0.2505)  4 Si 2.40
Si (0.2497, 0.0000, 0.7495)  4 Si 2.40
Si (0.3055, 0.1171, 0.5000)  4 Si 2.35-2.40
Si (0.3055, 0.8829, 0.5000)  4 Si 2.35-2.40
Si (0.3069, 0.1180, 0.0000)  4 Si 2.37-2.42
Si (0.3069, 0.8820, 0.0000)  4 Si 2.37-2.42
Si (0.3141, 0.3144, 0.3433)  4 Si 2.33-2.37
Si (0.3141, 0.3144, 0.6567)  4 Si 2.33-2.37
Si (0.3141, 0.6856, 0.3433)  4 Si 2.33-2.37
Si (0.3141, 0.6856, 0.6567)  4 Si 2.33-2.37
Si (0.3154, 0.3154, 0.1579)  4 Si 2.32-2.37
Si (0.3154, 0.3154, 0.8421)  4 Si 2.32-2.37
Si (0.3154, 0.6846, 0.1579)  4 Si 2.32-2.37
Si (0.3154, 0.6846, 0.8421)  4 Si 2.32-2.37
Si (0.3819, 0.1931, 0.2505)  4 Si 2.37-2.42
Si (0.3819, 0.1931, 0.7495)  4 Si 2.37-2.42
Si (0.3819, 0.8069, 0.2505)  4 Si 2.37-2.42
Si (0.3819, 0.8069, 0.7495)  4 Si 2.37-2.42
Si (0.5000, 0.2476, 0.5000)  4 Si 2.40
Si (0.5000, 0.2496, 0.0000)  4 Si 2.40
Si (0.5000, 0.3812, 0.4038)  4 Si 2.37-2.44
Si (0.5000, 0.3812, 0.5962)  4 Si 2.37-2.44
Si (0.5000, 0.3817, 0.0967)  4 Si 2.37-2.43
Si (0.5000, 0.3817, 0.9033)  4 Si 2.37-2.43
Si (0.5000, 0.6183, 0.0967)  4 Si 2.37-2.43
Si (0.5000, 0.6183, 0.9033)  4 Si 2.37-2.43
Si (0.5000, 0.6188, 0.4038)  4 Si 2.37-2.44
Si (0.5000, 0.6188, 0.5962)  4 Si 2.37-2.44
Si (0.5000, 0.7504, 0.0000)  4 Si 2.40
Si (0.5000, 0.7524, 0.5000)  4 Si 2.40
Si (0.6181, 0.1931, 0.2505)  4 Si 2.37-2.42
Si (0.6181, 0.1931, 0.7495)  4 Si 2.37-2.42
Si (0.6181, 0.8069, 0.2505)  4 Si 2.37-2.42
Si (0.6181, 0.8069, 0.7495)  4 Si 2.37-2.42
Si (0.6846, 0.3154, 0.1579)  4 Si 2.32-2.37
Si (0.6846, 0.3154, 0.8421)  4 Si 2.32-2.37
Si (0.6846, 0.6846, 0.1579)  4 Si 2.32-2.37
Si (0.6846, 0.6846, 0.8421)  4 Si 2.32-2.37
Si (0.6859, 0.3144, 0.3433)  4 Si 2.33-2.37
Si (0.6859, 0.3144, 0.6567)  4 Si 2.33-2.37
Si (0.6859, 0.6856, 0.3433)  4 Si 2.33-2.37
Si (0.6859, 0.6856, 0.6567)  4 Si 2.33-2.37
Si (0.6931, 0.1180, 0.0000)  4 Si 2.37-2.42
Si (0.6931, 0.8820, 0.0000)  4 Si 2.37-2.42
Si (0.6945, 0.1171, 0.5000)  4 Si 2.35-2.40
Si (0.6945, 0.8829, 0.5000)  4 Si 2.35-2.40
Si (0.7503, 0.0000, 0.2505)  4 Si 2.40
Si (0.7503, 0.0000, 0.7495)  4 Si 2.40
Si (0.8071, 0.5000, 0.1913)  4 Si 2.37-2.43
Si (0.8069, 0.5000, 0.3098)  4 Si 2.37-2.43
Si (0.8069, 0.5000, 0.6902)  4 Si 2.37-2.43
Si (0.8071, 0.5000, 0.8087)  4 Si 2.37-2.43
Si (0.8153, 0.1849, 0.0925)  4 Si 2.32-2.37
Si (0.8153, 0.1849, 0.9075)  4 Si 2.32-2.37
Si (0.8153, 0.8151, 0.0925)  4 Si 2.32-2.37
Si (0.8153, 0.8151, 0.9075)  4 Si 2.32-2.37
Si (0.8173, 0.1828, 0.4086)  4 Si 2.33-2.35
Si (0.8173, 0.1828, 0.5914)  4 Si 2.33-2.35
Si (0.8173, 0.8172, 0.4086)  4 Si 2.33-2.35
Si (0.8173, 0.8172, 0.5914)  4 Si 2.33-2.35
Si (0.8817, 0.0000, 0.1536)  4 Si 2.37-2.42
Si (0.8823, 0.0000, 0.3473)  4 Si 2.35-2.41
Si (0.8823, 0.0000, 0.6527)  4 Si 2.35-2.41
Si (0.8817, 0.0000, 0.8464)  4 Si 2.37-2.42



Computed, not measured: a PBEsol-optimized structure of KSi2 at the meta-GGA SCAN level of DFT.

Calculated values
* electronic total energy: -9.447 eV per atom
* SG: P-3m1, No. 164
* size of the total moment: 0.0 Bohr magnetons per cell

a b c (Å): 3.9205 3.9205 5.6173
angles (deg): 90.00 90.00 120.00
With the nearest neighbours (Å) after each atom.
Positions (direct):
K (0.0000, 0.0000, 0.0000)  6 Si 3.37
Si (0.3333, 0.6667, 0.4446)  3 Si 2.35
Si (0.6667, 0.3333, 0.5554)  3 Si 2.35



Computed, not measured: a PBEsol-optimized structure of K2Si at the meta-GGA SCAN level of DFT.

Calculated values
* electronic total energy: -8.288 eV per atom
* SG: P-3m1, No. 164
* size of the total moment: 0.3 Bohr magnetons per cell

a b c (Å): 3.9281 3.9281 9.2145
angles (deg): 90.00 90.00 120.00
With the nearest neighbours (Å) after each atom.
Positions (direct):
K (0.3333, 0.6667, 0.2610)  3 Si 3.31
K (0.6667, 0.3333, 0.7390)  3 Si 3.31
Si (0.0000, 0.0000, 0.0000)  6 K 3.31



Computed, not measured: a PBEsol-optimized structure of KSi3 at the meta-GGA SCAN level of DFT.

Calculated values
* electronic total energy: -8.679 eV per atom
* relative energy among the computed polymorphs: 419 meV per atom
* SG: Pm-3m, No. 221
* size of the total moment: 0.0 Bohr magnetons per cell

a b c (Å): 4.2202 4.2202 4.2202
angles (deg): 90.00 90.00 90.00
With the nearest neighbours (Å) after each atom.
Positions (direct):
K (0.0000, 0.0000, 0.0000)  12 Si 2.98
Si (0.0000, 0.5000, 0.5000)  4 K 2.98, 8 Si 2.98
Si (0.5000, 0.0000, 0.5000)  4 K 2.98, 8 Si 2.98
Si (0.5000, 0.5000, 0.0000)  4 K 2.98, 8 Si 2.98



Computed, not measured: a PBEsol-optimized structure of KSi3 at the meta-GGA SCAN level of DFT.

Calculated values
* electronic total energy: -9.098 eV per atom
* relative energy among the computed polymorphs: 0 meV per atom
* SG: Cmcm, No. 63
* size of the total moment: 0.0 Bohr magnetons per cell

a b c (Å): 7.4593 7.4593 3.5227
angles (deg): 90.00 90.00 120.49
With the nearest neighbours (Å) after each atom.
Positions (direct):
K (0.0962, 0.9038, 0.7500)  2 Si 2.92, 2 K 3.05
K (0.9038, 0.0962, 0.2500)  2 Si 2.92, 2 K 3.05
Si (0.1395, 0.5508, 0.2500)  3 Si 2.29-2.53
Si (0.4190, 0.5810, 0.7500)  6 Si 2.65-2.74
Si (0.4492, 0.8605, 0.2500)  3 Si 2.29-2.53
Si (0.5508, 0.1395, 0.7500)  3 Si 2.29-2.53
Si (0.5810, 0.4190, 0.2500)  6 Si 2.65-2.74
Si (0.8605, 0.4492, 0.7500)  3 Si 2.29-2.53



Computed, not measured: a PBEsol-optimized structure of KSiSn3 at the meta-GGA SCAN level of DFT.

Calculated values
* electronic total energy: -24.902 eV per atom
* SG: Pm-3m, No. 221
* size of the total moment: 0.0 Bohr magnetons per cell

a b c (Å): 5.3303 5.3303 5.3303
angles (deg): 90.00 90.00 90.00
With the nearest neighbours (Å) after each atom.
Positions (direct):
K (0.0000, 0.0000, 0.0000)  12 Sn 3.77
Si (0.5000, 0.5000, 0.5000)  6 Sn 2.67
Sn (0.0000, 0.5000, 0.5000)  2 Si 2.67
Sn (0.5000, 0.0000, 0.5000)  2 Si 2.67
Sn (0.5000, 0.5000, 0.0000)  2 Si 2.67



Computed, not measured: a PBEsol-optimized structure of K3SiSn at the meta-GGA SCAN level of DFT.

Calculated values
* electronic total energy: -13.639 eV per atom
* SG: Pm-3m, No. 221
* size of the total moment: 4.9 Bohr magnetons per cell

a b c (Å): 6.2305 6.2305 6.2305
angles (deg): 90.00 90.00 90.00
With the nearest neighbours (Å) after each atom.
Positions (direct):
K (0.0000, 0.0000, 0.5000)  2 Si 3.12
K (0.0000, 0.5000, 0.0000)  2 Si 3.12
K (0.5000, 0.0000, 0.0000)  2 Si 3.12
Si (0.0000, 0.0000, 0.0000)  6 K 3.12
Sn (0.5000, 0.5000, 0.5000)  12 K 4.41



Computed, not measured: a PBEsol-optimized structure of KSr2Si at the meta-GGA SCAN level of DFT.

Calculated values
* electronic total energy: -15.657 eV per atom
* SG: P4mm, No. 99
* size of the total moment: 0.5 Bohr magnetons per cell

a b c (Å): 4.3410 4.3410 9.3001
angles (deg): 90.00 90.00 90.00
With the nearest neighbours (Å) after each atom.
Positions (direct):
K (0.0000, 0.0000, 0.0000)  1 Sr 3.40
Sr (0.0000, 0.0000, 0.3659)  4 Si 3.13, 1 K 3.40
Sr (0.5000, 0.5000, 0.6376)  1 Si 3.14
Si (0.5000, 0.5000, 0.3003)  5 Sr 3.13-3.14



Computed values of uncorrected formation energy (unit: meV/atom) for the preceding records, in sequence: -193; -248; -468; -22; -15; 6; 604; 915; 496; 319; 546; 67.